Entry 1:
A relaxed structure of Y2ScZn2. Source: Alexandria, functional GGA-PBE.

- Crystal system: tetragonal
- Total magnetization: 0.00 μB/f.u.
- Space group: I4/mmm, No. 139
- E above lowest polymorph: 277 meV per atom
- Formation energy from the elements: 38.4 meV per atom
- V: 127 Å³ per cell

The structure in POSCAR format:
```
Y2ScZn2
1.0
-2.3217 2.3217 5.8991
2.3217 -2.3217 5.8991
2.3217 2.3217 -5.8991
Y Sc Zn
2 1 2
Cartesian
2.3217 0.0000 2.9496 Y
0.0000 2.3217 2.9496 Y
0.0000 0.0000 0.0000 Sc
0.0000 0.0000 4.7400 Zn
0.0000 0.0000 7.0583 Zn
```

Entry 2:
A relaxed structure of TiInCo3. Source: Alexandria, functional GGA-PBE.

- Crystal system: cubic
- Total magnetization: 0.00 μB/f.u.
- Space group: Pm-3m, No. 221
- E above lowest polymorph: 0 meV per atom
- Formation energy from the elements: 808.4 meV per atom
- V: 80 Å³ per cell

The structure in POSCAR format:
```
TiInCo3
1.0
4.3010 0.0000 0.0000
0.0000 4.3010 0.0000
0.0000 0.0000 4.3010
Ti In Co
1 1 3
Cartesian
0.0000 0.0000 0.0000 Ti
2.1505 2.1505 2.1505 In
0.0000 0.0000 2.1505 Co
0.0000 2.1505 0.0000 Co
2.1505 0.0000 0.0000 Co
```

Entry 3:
A relaxed structure of CuAgPt3. Source: Alexandria, functional GGA-PBE.

- Crystal system: cubic
- Total magnetization: 0.00 μB/f.u.
- Space group: Pm-3m, No. 221
- E above lowest polymorph: 0 meV per atom
- Formation energy from the elements: 905.3 meV per atom
- V: 97 Å³ per cell

The structure in POSCAR format:
```
CuAgPt3
1.0
4.5879 0.0000 0.0000
0.0000 4.5879 0.0000
0.0000 0.0000 4.5879
Cu Ag Pt
1 1 3
Cartesian
0.0000 0.0000 0.0000 Cu
2.2940 2.2940 2.2940 Ag
0.0000 0.0000 2.2940 Pt
0.0000 2.2940 0.0000 Pt
2.2940 0.0000 0.0000 Pt
```

Entry 4:
A relaxed structure of BaHgSb. Source: Alexandria, functional GGA-PBE.

- Formation energy (no corrections): -0.65 eV per atom
- Crystal system: trigonal
- Total magnetization: 0.00 μB/f.u.
- Space group: P3m1, No. 156
- E above lowest polymorph: 22 meV per atom
- V: 106 Å³ per cell

The structure in POSCAR format:
```
BaHgSb
1.0
4.9372 0.0000 0.0000
-2.4686 4.2758 0.0000
0.0000 0.0000 5.0201
Ba Hg Sb
1 1 1
Cartesian
0.0000 0.0000 0.0000 Ba
2.4686 1.4253 1.9794 Hg
0.0000 2.8505 2.7840 Sb
```

Entry 5:
A relaxed structure of EuZnGe. Source: Alexandria, functional GGA-PBE.

- Crystal system: hexagonal
- Total magnetization: 7.04 μB/f.u.
- Space group: P6_3/mmc, No. 194
- Formation energy from the elements: -555.9 meV per atom
- V: 279 Å³ per cell

The structure in POSCAR format:
```
EuZnGe
1.0
4.3065 0.0000 0.0000
-2.1532 3.7295 0.0000
0.0000 0.0000 17.3956
Eu Zn Ge
4 4 4
Cartesian
0.0000 0.0000 0.0000 Eu
0.0000 0.0000 4.3489 Eu
0.0000 0.0000 8.6978 Eu
0.0000 0.0000 13.0467 Eu
0.0000 2.4863 2.1961 Zn
0.0000 2.4863 6.5016 Zn
2.1532 1.2432 10.8939 Zn
2.1532 1.2432 15.1994 Zn
0.0000 2.4863 10.8111 Ge
0.0000 2.4863 15.2823 Ge
2.1532 1.2432 2.1133 Ge
2.1532 1.2432 6.5845 Ge
```

Entry 6:
A relaxed structure of BeC. Source: Alexandria, functional GGA-PBE.

- Crystal system: trigonal
- Total magnetization: 0.00 μB/f.u.
- Space group: R3m, No. 160
- E above lowest polymorph: 11 meV per atom
- Formation energy from the elements: 330.2 meV per atom
- V: 31 Å³ per cell

The structure in POSCAR format:
```
BeC
1.0
1.4819 0.8556 4.1098
-1.4819 0.8556 4.1098
0.0000 -1.7112 4.1098
Be C
2 2
Cartesian
0.0000 0.0000 0.0000 Be
0.0000 0.0000 5.8443 Be
0.0000 0.0000 7.5408 C
0.0000 0.0000 8.9479 C
```